Below is Sr2HfTe after structural relaxation, with properties calculated at the GGA-PBE level.

Values from the calculation:
Uncorrected energy = -3.865 eV per atom
Calculated volume = 125 Å³/cell

Unit cell a=5.608 b=5.608 c=5.608 alpha=60.00 beta=60.00 gamma=60.00
Site moments in Bohr magnetons follow the coordinates.
Atoms (fractional coordinates):
Sr  0.750  0.750  0.750  0.02
Sr  0.000  0.000  0.000  0.02
Hf  0.250  0.250  0.250  0.33
Te  0.500  0.500  0.500  -0.01

=====

Below is SrHfTe2 after structural relaxation, with properties calculated at the GGA-PBE level.

Values from the calculation:
Uncorrected energy = -4.363 eV per atom
Calculated volume = 114 Å³/cell

Unit cell a=5.449 b=5.449 c=5.449 alpha=60.00 beta=60.00 gamma=60.00
Site moments in Bohr magnetons follow the coordinates.
Atoms (fractional coordinates):
Hf  0.250  0.250  0.250  1.04
Sr  0.500  0.500  0.500  0.15
Te  0.750  0.750  0.750  -0.08
Te  0.000  0.000  0.000  -0.07

=====

Below is SrHfTe4 after structural relaxation, with properties calculated at the GGA-PBE level.

Values from the calculation:
Uncorrected energy = -4.839 eV per atom
Calculated volume = 418 Å³/cell

Unit cell a=9.299 b=9.299 c=8.314 alpha=90.00 beta=90.00 gamma=144.49
Atoms (fractional coordinates):
Te  0.697  0.303  0.228
Te  0.096  0.904  0.510
Te  0.904  0.096  0.010
Te  0.464  0.536  0.341
Te  0.745  0.255  0.709
Te  0.255  0.745  0.209
Te  0.303  0.697  0.728
Te  0.536  0.464  0.841
Hf  0.601  0.399  0.521
Hf  0.399  0.601  0.021
Sr  0.129  0.871  0.909
Sr  0.871  0.129  0.409